NiPAuO2: optimized geometry, GGA+U.

Unit cell a=3.934 b=3.934 c=5.150 alpha=90.00 beta=90.00 gamma=90.00
Fractional coordinates of all 5 atoms:
Ni 0.000 0.000 0.000
P 0.500 0.500 0.000
Au 0.500 0.500 0.500
O 0.000 0.500 0.500
O 0.500 0.000 0.500

* final energy: -3.44 eV per atom
* energy relative to the lowest polymorph listed for this composition: 471 meV/atom
* magnetic moment: 2.3 μB/cell
* SG: P4/mmm